Here is a relaxed Ho2ErMg3In3 crystal from the Open Quantum Materials Database. Energies are from PBE-GGA.

```
Ho2ErMg3In3
1.0
-3.375 2.931 1.307
-2.157 -4.834 5.274
5.128 5.199 1.583
Mg In Ho Er
3 3 2 1
Direct
0.500 0.758 0.000
0.500 0.241 0.241
0.500 0.000 0.758
0.500 0.666 0.334
0.500 0.334 0.666
0.000 0.999 0.999
0.000 0.000 0.436
0.000 0.436 0.000
0.000 0.564 0.564
```


Here is a relaxed HoErMgIn crystal from the Open Quantum Materials Database. Energies are from PBE-GGA.

```
HoErMgIn
1.0
4.550 -0.519 2.610
0.360 -3.389 4.022
2.845 -4.408 -0.514
In Er Mg Ho
1 1 1 1
Direct
0.750 0.750 0.750
0.500 0.500 0.500
0.250 0.250 0.250
0.000 0.000 0.000
```


Here is a relaxed HoEr2Mg3In3 crystal from the Open Quantum Materials Database. Energies are from PBE-GGA.

```
HoEr2Mg3In3
1.0
-0.840 -4.484 0.927
6.396 -1.894 -3.370
-0.072 1.525 7.315
Mg In Er Ho
3 3 2 1
Direct
0.500 0.242 0.242
0.500 0.000 0.759
0.500 0.759 0.000
0.500 0.667 0.333
0.000 0.001 0.001
0.500 0.333 0.667
0.000 0.436 0.000
0.000 0.000 0.436
0.000 0.564 0.564
```


Here is a relaxed HoEr2Mg4In2 crystal from the Open Quantum Materials Database. Energies are from PBE-GGA.

```
HoEr2Mg4In2
1.0
4.633 0.000 0.000
0.000 6.535 3.766
0.000 -6.535 3.766
Mg Ho Er In
4 1 2 2
Direct
0.000 0.999 0.999
0.500 0.243 0.000
0.500 0.757 0.757
0.500 0.000 0.243
0.000 0.438 0.438
0.000 0.000 0.563
0.000 0.563 0.000
0.500 0.333 0.667
0.500 0.667 0.333
```


Here is a relaxed HoErInN crystal from the Open Quantum Materials Database. Energies are from PBE-GGA.

```
HoErInN
1.0
-2.083 -2.668 0.851
3.462 -0.322 0.306
-0.807 5.327 14.726
Er In N Ho
2 2 2 2
Direct
0.000 0.000 0.666
0.000 0.000 0.334
0.667 0.333 0.500
0.000 0.000 0.000
0.333 0.667 0.749
0.333 0.667 0.251
0.667 0.333 0.166
0.667 0.333 0.834
```


Here is a relaxed HoErInN crystal from the Open Quantum Materials Database. Energies are from PBE-GGA.

```
HoErInN
1.0
3.490 0.000 0.000
-1.745 3.022 0.000
0.000 0.000 15.682
Er In N Ho
2 2 2 2
Direct
0.667 0.333 0.084
0.333 0.667 0.916
0.667 0.333 0.751
0.333 0.667 0.249
0.000 0.000 0.500
0.000 0.000 0.000
0.333 0.667 0.584
0.667 0.333 0.416
```


Number 1: size of the total moment 0.0 μB per formula unit, raw total energy -3.332 eV per atom. Number 2: size of the total moment 0.0 μB per formula unit, raw total energy -3.663 eV per atom. Number 3: size of the total moment 0.0 μB per formula unit, raw total energy -3.327 eV per atom. Number 4: size of the total moment 0.0 μB per formula unit, raw total energy -3.084 eV per atom. Number 5: size of the total moment 0.0 μB per formula unit, raw total energy -6.104 eV per atom. Number 6: size of the total moment 0.0 μB per formula unit, raw total energy -6.104 eV per atom.